(1)
Material: La3Cd2
Method: DFT, GGA-PBE
State: optimized geometry

Unit cell a=5.397 b=5.397 c=6.697 alpha=90.00 beta=90.00 gamma=120.00
Positions (direct):
La (0.000, 0.000, 0.000)
La (0.333, 0.667, 0.368)
La (0.667, 0.333, 0.632)
Cd (0.333, 0.667, 0.860)
Cd (0.667, 0.333, 0.140)

Energy above the lowest structure with this stoichiometry (kJ per mole of atoms): 13.5
E_form (eV per atom): -0.121
Space-group type: P-3m1 (164)
DFT total energy (eV/f.u.): -17.2



(2)
Material: NaAcCuF6
Method: DFT, GGA-PBE
State: optimized geometry

Unit cell a=6.025 b=6.025 c=8.730 alpha=90.00 beta=90.00 gamma=120.00
Positions (direct):
Na (0.000, 0.000, 0.000)
Na (0.000, 0.000, 0.500)
Ac (0.333, 0.667, 0.250)
Ac (0.667, 0.333, 0.750)
Cu (0.333, 0.667, 0.750)
Cu (0.667, 0.333, 0.250)
F (0.049, 0.371, 0.626)
F (0.049, 0.678, 0.874)
F (0.322, 0.371, 0.874)
F (0.322, 0.951, 0.626)
F (0.371, 0.049, 0.126)
F (0.371, 0.322, 0.374)
F (0.629, 0.678, 0.626)
F (0.629, 0.951, 0.874)
F (0.678, 0.049, 0.374)
F (0.678, 0.629, 0.126)
F (0.951, 0.322, 0.126)
F (0.951, 0.629, 0.374)

ΔE_f (raw) (eV/atom): -2.87
Space-group type: P-31c (163)
DFT total energy (eV/f.u.): -46.6



(3)
Material: Pr4TeIrCl2
Method: DFT, GGA-PBE
State: optimized geometry

Unit cell a=7.444 b=4.198 c=8.016 alpha=90.00 beta=109.57 gamma=90.00
Positions (direct):
Pr (0.217, 0.000, 0.212)
Pr (0.246, 0.500, 0.787)
Pr (0.754, 0.500, 0.213)
Pr (0.783, 0.000, 0.788)
Te (0.000, 0.000, 0.500)
Ir (0.000, 0.500, 0.000)
Cl (0.500, 0.000, 0.000)
Cl (0.500, 0.500, 0.500)

ΔE_f (raw) (eV/atom): -1.28
Space-group type: P2/m (10)
DFT total energy (eV/f.u.): -45.0



(4)
Material: UCoP
Method: DFT, GGA-PBE
State: optimized geometry

Unit cell a=3.514 b=3.514 c=8.064 alpha=90.00 beta=90.00 gamma=90.00
Positions (direct):
U (0.000, 0.000, 0.000)
U (0.500, 0.500, 0.500)
Co (0.000, 0.000, 0.359)
Co (0.500, 0.500, 0.859)
P (0.000, 0.000, 0.657)
P (0.500, 0.500, 0.157)

E_form (eV per atom): -0.222
Space-group type: I4mm (107)
DFT total energy (eV/f.u.): -24.5



(5)
Material: Li3PaTl2F12
Method: DFT, GGA-PBE
State: optimized geometry

Unit cell a=6.433 b=6.433 c=6.433 alpha=67.10 beta=67.10 gamma=67.10
Positions (direct):
Li (0.000, 0.500, 0.500)
Li (0.500, 0.000, 0.500)
Li (0.500, 0.500, 0.000)
Pa (0.500, 0.500, 0.500)
Tl (0.096, 0.096, 0.096)
Tl (0.904, 0.904, 0.904)
F (0.068, 0.667, 0.667)
F (0.260, 0.260, 0.616)
F (0.260, 0.616, 0.260)
F (0.333, 0.333, 0.932)
F (0.333, 0.932, 0.333)
F (0.384, 0.740, 0.740)
F (0.616, 0.260, 0.260)
F (0.667, 0.068, 0.667)
F (0.667, 0.667, 0.068)
F (0.740, 0.384, 0.740)
F (0.740, 0.740, 0.384)
F (0.932, 0.333, 0.333)

ΔE_f (raw) (eV/atom): -2.76
Space-group type: R-3m (166)
DFT total energy (eV/f.u.): -92.1



(6)
Material: KP2H6Se2
Method: DFT, GGA-PBE
State: optimized geometry

Unit cell a=5.115 b=6.054 c=7.753 alpha=101.51 beta=100.70 gamma=112.52
Positions (direct):
K (0.000, 0.000, 0.000)
P (0.081, 0.698, 0.585)
P (0.919, 0.302, 0.415)
H (0.273, 0.798, 0.479)
H (0.310, 0.689, 0.717)
H (0.374, 0.306, 0.720)
H (0.626, 0.694, 0.280)
H (0.690, 0.311, 0.283)
H (0.727, 0.202, 0.521)
Se (0.379, 0.642, 0.119)
Se (0.621, 0.358, 0.881)

Space-group type: P-1 (2)
DFT total energy (eV/f.u.): -40.5



(7)
Material: PrNd2HoTe5
Method: DFT, GGA-PBE
State: optimized geometry

Unit cell a=5.517 b=5.517 c=11.863 alpha=90.00 beta=90.00 gamma=90.00
Positions (direct):
Pr (0.000, 0.000, 0.000)
Nd (0.500, 0.500, 0.343)
Nd (0.500, 0.500, 0.657)
Ho (0.000, 0.000, 0.500)
Te (0.000, 0.000, 0.251)
Te (0.000, 0.000, 0.749)
Te (0.000, 0.500, 0.500)
Te (0.500, 0.000, 0.500)
Te (0.500, 0.500, 0.000)

ΔE_f (raw) (eV/atom): -0.85
Space-group type: P4/mmm (123)
DFT total energy (eV/f.u.): -42.2



(8)
Material: SiRh5
Method: DFT, GGA-PBE
State: optimized geometry

Unit cell a=9.389 b=2.752 c=6.906 alpha=90.00 beta=110.55 gamma=90.00
Positions (direct):
Si (0.000, 0.000, 0.000)
Si (0.500, 0.500, 0.000)
Rh (0.046, 0.000, 0.541)
Rh (0.176, 0.500, 0.895)
Rh (0.182, 0.500, 0.312)
Rh (0.358, 0.000, 0.695)
Rh (0.389, 0.000, 0.205)
Rh (0.546, 0.500, 0.541)
Rh (0.676, 0.000, 0.895)
Rh (0.682, 0.000, 0.312)
Rh (0.858, 0.500, 0.695)
Rh (0.889, 0.500, 0.205)

ΔE_f (raw) (eV/atom): -0.25
Energy above the lowest structure with this stoichiometry (kJ per mole of atoms): 1.8
Space-group type: Cm (8)
DFT total energy (eV/f.u.): -43.7



(9)
Material: Rb2InNiBr6
Method: DFT, GGA-PBE
State: optimized geometry

Unit cell a=7.641 b=7.641 c=7.641 alpha=120.01 beta=120.01 gamma=89.98
Positions (direct):
Rb (0.250, 0.750, 0.500)
Rb (0.750, 0.250, 0.500)
In (0.000, 0.000, 0.000)
Ni (0.500, 0.500, 0.000)
Br (0.261, 0.261, 0.522)
Br (0.261, 0.739, 0.000)
Br (0.262, 0.262, 0.000)
Br (0.738, 0.738, 0.000)
Br (0.739, 0.261, 0.000)
Br (0.739, 0.739, 0.478)

ΔE_f (raw) (eV/atom): -1.02
Space-group type: I4/mmm (139)
DFT total energy (eV/f.u.): -30.7



(10)
Material: Al4PbAu
Method: DFT, GGA-PBE
State: optimized geometry

Unit cell a=5.542 b=5.542 c=5.542 alpha=60.00 beta=60.00 gamma=60.00
Positions (direct):
Al (0.124, 0.124, 0.124)
Al (0.124, 0.124, 0.627)
Al (0.124, 0.627, 0.124)
Al (0.627, 0.124, 0.124)
Pb (0.500, 0.500, 0.500)
Au (0.750, 0.750, 0.750)

E_form (eV per atom): 0.168
Space-group type: F-43m (216)
DFT total energy (eV/f.u.): -20.9



(11)
Material: ScSnPt
Method: DFT, GGA-PBE
State: optimized geometry

Unit cell a=6.484 b=6.484 c=6.484 alpha=90.00 beta=90.00 gamma=90.00
Positions (direct):
Sc (0.000, 0.000, 0.000)
Sc (0.000, 0.500, 0.500)
Sc (0.500, 0.000, 0.500)
Sc (0.500, 0.500, 0.000)
Sn (0.250, 0.250, 0.250)
Sn (0.250, 0.750, 0.750)
Sn (0.750, 0.250, 0.750)
Sn (0.750, 0.750, 0.250)
Pt (0.250, 0.250, 0.750)
Pt (0.250, 0.750, 0.250)
Pt (0.750, 0.250, 0.250)
Pt (0.750, 0.750, 0.750)

E_form (eV per atom): -0.421
Space-group type: F-43m (216)
DFT total energy (eV/f.u.): -17.6



(12)
Material: YSc2Si
Method: DFT, GGA-PBE
State: optimized geometry

Unit cell a=4.414 b=4.414 c=4.458 alpha=90.00 beta=90.00 gamma=90.00
Positions (direct):
Y (0.000, 0.000, 0.000)
Sc (0.000, 0.500, 0.500)
Sc (0.500, 0.000, 0.500)
Si (0.500, 0.500, 0.000)

ΔE_f (raw) (eV/atom): -0.30
Space-group type: P4/mmm (123)
DFT total energy (eV/f.u.): -25.7



(13)
Material: Ba2LiH6Os
Method: DFT, GGA-PBE
State: optimized geometry

Unit cell a=5.727 b=5.727 c=4.998 alpha=90.00 beta=90.00 gamma=120.00
Positions (direct):
Ba (0.333, 0.667, 0.277)
Ba (0.667, 0.333, 0.723)
Li (0.000, 0.000, 0.000)
H (0.144, 0.288, 0.706)
H (0.144, 0.856, 0.706)
H (0.288, 0.144, 0.294)
H (0.712, 0.856, 0.706)
H (0.856, 0.144, 0.294)
H (0.856, 0.712, 0.294)
Os (0.000, 0.000, 0.500)

Space-group type: P-3m1 (164)
DFT total energy (eV/f.u.): -41.4



(14)
Material: Al3NiAu
Method: DFT, GGA-PBE
State: optimized geometry

Unit cell a=4.475 b=4.475 c=4.475 alpha=90.00 beta=90.00 gamma=90.00
Positions (direct):
Al (0.000, 0.000, 0.500)
Al (0.000, 0.500, 0.000)
Al (0.500, 0.000, 0.000)
Ni (0.000, 0.000, 0.000)
Au (0.500, 0.500, 0.500)

Energy above the lowest structure with this stoichiometry (kJ per mole of atoms): 17.8
E_form (eV per atom): -0.122
Space-group type: Pm-3m (221)
DFT total energy (eV/f.u.): -20.9



(15)
Material: Rb2ThB2S6
Method: DFT, GGA-PBE
State: optimized geometry

Unit cell a=6.814 b=6.814 c=8.509 alpha=114.10 beta=114.10 gamma=60.11
Positions (direct):
Rb (0.204, 0.204, 0.180)
Rb (0.796, 0.796, 0.820)
Th (0.000, 0.000, 0.500)
B (0.432, 0.432, 0.713)
B (0.568, 0.568, 0.287)
S (0.249, 0.706, 0.240)
S (0.261, 0.261, 0.642)
S (0.294, 0.751, 0.760)
S (0.706, 0.249, 0.240)
S (0.739, 0.739, 0.358)
S (0.751, 0.294, 0.760)

ΔE_f (raw) (eV/atom): -1.08
Space-group type: C2/m (12)
DFT total energy (eV/f.u.): -59.3



(16)
Material: ThGa5Pd2
Method: DFT, GGA-PBE
State: optimized geometry

Unit cell a=4.092 b=7.265 c=9.975 alpha=90.00 beta=90.00 gamma=90.00
Positions (direct):
Th (0.000, 0.000, 0.000)
Th (0.500, 0.500, 0.500)
Ga (0.000, 0.191, 0.359)
Ga (0.000, 0.191, 0.641)
Ga (0.000, 0.500, 0.000)
Ga (0.000, 0.809, 0.359)
Ga (0.000, 0.809, 0.641)
Ga (0.500, 0.000, 0.500)
Ga (0.500, 0.309, 0.141)
Ga (0.500, 0.309, 0.859)
Ga (0.500, 0.691, 0.141)
Ga (0.500, 0.691, 0.859)
Pd (0.000, 0.500, 0.248)
Pd (0.000, 0.500, 0.752)
Pd (0.500, 0.000, 0.252)
Pd (0.500, 0.000, 0.748)

E_form (eV per atom): -0.530
Space-group type: Immm (71)
DFT total energy (eV/f.u.): -37.2



(17)
Material: BeGaRu
Method: DFT, GGA-PBE
State: optimized geometry

Unit cell a=3.001 b=3.001 c=8.274 alpha=90.00 beta=90.00 gamma=90.00
Positions (direct):
Be (0.000, 0.000, 0.000)
Be (0.500, 0.500, 0.500)
Ga (0.000, 0.000, 0.692)
Ga (0.500, 0.500, 0.192)
Ru (0.000, 0.000, 0.377)
Ru (0.500, 0.500, 0.877)

Energy above the lowest structure with this stoichiometry (kJ per mole of atoms): 0.0
E_form (eV per atom): -0.269
Space-group type: I4mm (107)
DFT total energy (eV/f.u.): -16.8



(18)
Material: POs2Br
Method: DFT, GGA-PBE
State: optimized geometry

Unit cell a=2.743 b=3.780 c=8.192 alpha=90.00 beta=90.00 gamma=90.00
Positions (direct):
P (0.000, 0.000, 0.000)
Os (0.000, 0.000, 0.716)
Os (0.500, 0.500, 0.851)
Br (0.500, 0.500, 0.393)

ΔE_f (raw) (eV/atom): 0.62
Energy above the lowest structure with this stoichiometry (kJ per mole of atoms): 21.4
Space-group type: Pmm2 (25)
DFT total energy (eV/f.u.): -27.1